# SrAc2GeO6

A relaxed structure of SrAc2GeO6 (GGA-PBE, the Alexandria database).

Lattice parameters (Å, degrees): 5.6979 5.6979 5.2117 90.00 90.00 90.00
Closest atoms and distances in Å follow each position.
Space group P4mm (No. 99)
Unique sites:
1 Sr 0.0000 0.0000 0.0000 x1  5 O 2.37-2.40
2 Ac 0.0000 0.5000 0.4480 x2  4 O 2.50
3 Ge 0.5000 0.5000 0.0489 x1  5 O 1.81-1.89
4 O 0.0000 0.0000 0.5447 x1  1 Sr 2.37
5 O 0.2779 0.2779 0.1658 x4  1 Ge 1.89
6 O 0.5000 0.5000 0.7022 x1  1 Ge 1.81

Results
The electronic total energy is -7.11 eV per atom.

# Cs2HgI

A relaxed structure of Cs2HgI (GGA-PBE, the Alexandria database).

Lattice parameters (Å, degrees): 9.4425 9.4425 9.4425 90.00 90.00 90.00
Closest atoms and distances in Å follow each position.
Space group Fm-3m (No. 225)
Unique sites:
1 Cs 0.2500 0.2500 0.2500 x8  4 Hg 4.09, 4 I 4.09
2 Hg 0.0000 0.0000 0.0000 x4  8 Cs 4.09
3 I 0.0000 0.0000 0.5000 x4  8 Cs 4.09

Results
For the energy above the lowest structure with this stoichiometry, the calculation gives 0.134 eV per atom.

# TlCuAs2O8

A relaxed structure of TlCuAs2O8 (GGA-PBE, the Alexandria database).

Lattice parameters (Å, degrees): 7.0092 7.0092 6.3053 90.00 90.00 90.00
Closest atoms and distances in Å follow each position.
Space group I-4m2 (No. 119)
Unique sites:
1 Tl 0.0000 0.0000 0.0000 x2  8 O 2.29-2.39
2 Cu 0.0000 0.5000 0.2500 x2  8 O 2.24-2.32
3 As 0.0000 0.0000 0.5000 x2  4 O 1.73
4 As 0.0000 0.5000 0.7500 x2  4 O 1.72
5 O 0.0000 0.1857 0.3181 x8  1 As 1.73
6 O 0.0000 0.3227 0.9390 x8  1 As 1.72

Results
The electronic total energy is -5.31 eV per atom.

# YRePb3

A relaxed structure of YRePb3 (GGA-PBE, the Alexandria database).

Lattice parameters (Å, degrees): 5.3492 5.3492 5.3492 90.00 90.00 90.00
Closest atoms and distances in Å follow each position.
Space group Pm-3m (No. 221)
Unique sites:
1 Y 0.0000 0.0000 0.0000 x1  12 Pb 3.78
2 Re 0.5000 0.5000 0.5000 x1  6 Pb 2.67
3 Pb 0.0000 0.5000 0.5000 x3  2 Re 2.67

Results
The calculation puts the formation energy at 0.628 eV per atom. For the energy above the lowest structure with this stoichiometry, the calculation gives 0.000 eV per atom.

# CePrHoLu

A relaxed structure of CePrHoLu (GGA-PBE, the Alexandria database).

Lattice parameters (Å, degrees): 8.0133 8.0133 8.0133 90.00 90.00 90.00
Closest atoms and distances in Å follow each position.
Space group F-43m (No. 216)
Unique sites:
1 Ce 0.0000 0.0000 0.0000 x4  4 Lu 3.47, 4 Ho 3.47
2 Pr 0.0000 0.0000 0.5000 x4  4 Ho 3.47, 4 Lu 3.47
3 Ho 0.2500 0.2500 0.2500 x4  4 Ce 3.47, 4 Pr 3.47
4 Lu 0.2500 0.2500 0.7500 x4  4 Ce 3.47, 4 Pr 3.47

Results
The calculation puts the formation energy at 0.146 eV per atom.

# BeRu2C

A relaxed structure of BeRu2C (GGA-PBE, the Alexandria database).

Lattice parameters (Å, degrees): 5.4457 5.4457 5.4457 90.00 90.00 90.00
Closest atoms and distances in Å follow each position.
Space group Fm-3m (No. 225)
Unique sites:
1 Be 0.0000 0.0000 0.0000 x4  8 Ru 2.36
2 Ru 0.2500 0.2500 0.2500 x8  4 Be 2.36, 4 C 2.36
3 C 0.0000 0.0000 0.5000 x4  8 Ru 2.36

Results
The calculation puts the formation energy at 0.594 eV per atom. For the energy above the lowest structure with this stoichiometry, the calculation gives 0.291 eV per atom.

# Cr2ReCl

A relaxed structure of Cr2ReCl (GGA-PBE, the Alexandria database).

Lattice parameters (Å, degrees): 6.0440 6.0440 6.0440 90.00 90.00 90.00
Closest atoms and distances in Å follow each position.
Space group F-43m (No. 216)
Unique sites:
1 Cr 0.0000 0.0000 0.0000 x4  4 Re 2.62, 4 Cr 2.62
2 Cr 0.2500 0.2500 0.2500 x4  4 Cr 2.62, 4 Cl 2.62
3 Re 0.2500 0.2500 0.7500 x4  4 Cr 2.62, 4 Cl 2.62
4 Cl 0.0000 0.0000 0.5000 x4  4 Cr 2.62, 4 Re 2.62

Results
For the energy above the lowest structure with this stoichiometry, the calculation gives 0.858 eV per atom.

# MnCrW4

A relaxed structure of MnCrW4 (GGA-PBE, the Alexandria database).

Lattice parameters (Å, degrees): 7.3827 7.3827 7.3827 90.00 90.00 90.00
Closest atoms and distances in Å follow each position.
Space group F-43m (No. 216)
Unique sites:
1 Mn 0.0000 0.0000 0.0000 x4  12 W 3.06, 4 Cr 3.20
2 Cr 0.2500 0.2500 0.2500 x4  12 W 3.06, 4 Mn 3.20
3 W 0.1253 0.1253 0.6253 x16  6 W 2.60-2.62

Results
The calculation puts the formation energy at 0.595 eV per atom.

# ScGe2W

A relaxed structure of ScGe2W (GGA-PBE, the Alexandria database).

Lattice parameters (Å, degrees): 6.4488 6.4488 6.4488 90.00 90.00 90.00
Closest atoms and distances in Å follow each position.
Space group Fm-3m (No. 225)
Unique sites:
1 Sc 0.0000 0.0000 0.0000 x4  8 Ge 2.79
2 Ge 0.2500 0.2500 0.2500 x8  4 W 2.79, 4 Sc 2.79
3 W 0.0000 0.0000 0.5000 x4  8 Ge 2.79

Results
The calculation puts the formation energy at -0.068 eV per atom. For the energy above the lowest structure with this stoichiometry, the calculation gives 0.030 eV per atom.

# RbCrCoCl6

A relaxed structure of RbCrCoCl6 (GGA-PBE, the Alexandria database).

Lattice parameters (Å, degrees): 6.2868 10.8945 7.4356 90.00 90.26 90.00
Closest atoms and distances in Å follow each position.
Space group C2 (No. 5)
Unique sites:
1 Rb 0.0000 0.0000 0.0000 x2  6 Cl 3.32-3.33
2 Cr 0.0000 0.6661 0.5000 x2  6 Cl 2.36-2.37
3 Co 0.0000 0.3323 0.5000 x2  6 Cl 2.43-2.45
4 Cl 0.1240 0.5044 0.6849 x4  1 Cr 2.36, 1 Co 2.45
5 Cl 0.1782 0.8119 0.6829 x4  1 Cr 2.37, 1 Co 2.45
6 Cl 0.1927 0.1827 0.6814 x4  1 Cr 2.37, 1 Co 2.43

Results
The electronic total energy is -4.32 eV per atom.

# Li2CuF4

A relaxed structure of Li2CuF4 (GGA-PBE, the Alexandria database).

Lattice parameters (Å, degrees): 5.9570 8.1439 3.1270 90.00 90.00 90.00
Closest atoms and distances in Å follow each position.
Space group Cmmm (No. 65)
Unique sites:
1 Li 0.2500 0.2500 0.0000 x4  6 F 2.04-2.16
2 Cu 0.0000 0.0000 0.5000 x2  6 F 1.94-2.08
3 F 0.0000 0.2379 0.5000 x4  1 Cu 1.94, 4 Li 2.16
4 F 0.2292 0.0000 0.0000 x4  2 Li 2.04, 2 Cu 2.08

Results
For the energy above the lowest structure with this stoichiometry, the calculation gives 0.064 eV per atom.

# Cu2PdPt

A relaxed structure of Cu2PdPt (GGA-PBE, the Alexandria database).

Lattice parameters (Å, degrees): 6.8006 6.8006 5.2843 90.00 90.00 90.00
Closest atoms and distances in Å follow each position.
Space group I-42d (No. 122)
Unique sites:
1 Cu 0.2485 0.2500 0.1250 x8  2 Pt 2.49, 2 Pd 2.50, 2 Cu 2.64
2 Pd 0.0000 0.0000 0.5000 x4  4 Cu 2.50, 2 Pt 2.64
3 Pt 0.0000 0.0000 0.0000 x4  4 Cu 2.49, 2 Pd 2.64

Results
The calculation puts the formation energy at 0.265 eV per atom.

# TmCdHgPb

A relaxed structure of TmCdHgPb (GGA-PBE, the Alexandria database).

Lattice parameters (Å, degrees): 7.4158 7.4158 7.4158 90.00 90.00 90.00
Closest atoms and distances in Å follow each position.
Space group F-43m (No. 216)
Unique sites:
1 Tm 0.0000 0.0000 0.0000 x4  4 Hg 3.21, 4 Pb 3.21
2 Cd 0.0000 0.0000 0.5000 x4  4 Hg 3.21, 4 Pb 3.21
3 Hg 0.2500 0.2500 0.7500 x4  4 Tm 3.21, 4 Cd 3.21
4 Pb 0.2500 0.2500 0.2500 x4  4 Cd 3.21, 4 Tm 3.21

Results
The calculation puts the formation energy at -0.165 eV per atom. For the energy above the lowest structure with this stoichiometry, the calculation gives 0.129 eV per atom.

# Rb2BiF4

A relaxed structure of Rb2BiF4 (GGA-PBE, the Alexandria database).

Lattice parameters (Å, degrees): 4.9725 4.9725 13.9325 90.00 90.00 90.00
Closest atoms and distances in Å follow each position.
Space group I4/mmm (No. 139)
Unique sites:
1 Rb 0.0000 0.0000 0.1403 x4  1 F 2.69
2 Bi 0.0000 0.0000 0.5000 x2  6 F 2.32-2.49
3 F 0.0000 0.0000 0.3331 x4  1 Bi 2.32
4 F 0.0000 0.5000 0.0000 x4  2 Bi 2.49

Results
The electronic total energy is -4.17 eV per atom.

# BaNiTe

A relaxed structure of BaNiTe (GGA-PBE, the Alexandria database).

Lattice parameters (Å, degrees): 4.4822 4.4822 15.0061 90.00 90.00 120.00
Closest atoms and distances in Å follow each position.
Space group R3m (No. 160, hexagonal axes)
Unique sites:
1 Ba 0.0000 0.0000 0.0000 x3  4 Ni 3.02-3.26
2 Ni 0.0000 0.0000 0.7991 x3  3 Te 2.61
3 Te 0.0000 0.0000 0.4897 x3  3 Ni 2.61

Results
The electronic total energy is -4.37 eV per atom.

# Cd2ReAu

A relaxed structure of Cd2ReAu (GGA-PBE, the Alexandria database).

Lattice parameters (Å, degrees): 6.6888 6.6888 6.6888 90.00 90.00 90.00
Closest atoms and distances in Å follow each position.
Space group F-43m (No. 216)
Unique sites:
1 Cd 0.0000 0.0000 0.0000 x4  4 Cd 2.90, 4 Au 2.90
2 Cd 0.2500 0.2500 0.2500 x4  4 Cd 2.90, 4 Re 2.90
3 Re 0.0000 0.0000 0.5000 x4  4 Cd 2.90, 4 Au 2.90
4 Au 0.2500 0.2500 0.7500 x4  4 Cd 2.90, 4 Re 2.90

Results
The calculation puts the formation energy at 0.670 eV per atom. For the energy above the lowest structure with this stoichiometry, the calculation gives 0.344 eV per atom.

# CeSmSiHg

A relaxed structure of CeSmSiHg (GGA-PBE, the Alexandria database).

Lattice parameters (Å, degrees): 7.4000 7.4000 7.4000 90.00 90.00 90.00
Closest atoms and distances in Å follow each position.
Space group F-43m (No. 216)
Unique sites:
1 Ce 0.0000 0.0000 0.0000 x4  4 Si 3.20, 4 Hg 3.20
2 Sm 0.0000 0.0000 0.5000 x4  4 Hg 3.20, 4 Si 3.20
3 Si 0.2500 0.2500 0.7500 x4  4 Ce 3.20, 4 Sm 3.20
4 Hg 0.2500 0.2500 0.2500 x4  4 Ce 3.20, 4 Sm 3.20

Results
The electronic total energy is -4.50 eV per atom.

# SrNiIr2

A relaxed structure of SrNiIr2 (GGA-PBE, the Alexandria database).

Lattice parameters (Å, degrees): 2.8098 4.7447 10.0649 90.00 90.00 90.00
Closest atoms and distances in Å follow each position.
Space group Immm (No. 71)
Unique sites:
1 Sr 0.0000 0.0000 0.0000 x2  4 Ni 2.76, 2 Sr 2.81
2 Ni 0.0000 0.0000 0.5000 x2  4 Ir 2.62, 4 Sr 2.76, 2 Ni 2.81
3 Ir 0.0000 0.5000 0.2193 x4  2 Ni 2.62, 6 Ir 2.81-2.83

Results
The calculation puts the formation energy at 0.248 eV per atom. For the energy above the lowest structure with this stoichiometry, the calculation gives 0.049 eV per atom.

# Mg2VPt2

A relaxed structure of Mg2VPt2 (GGA-PBE, the Alexandria database).

Lattice parameters (Å, degrees): 7.5757 7.5757 2.8829 90.00 90.00 90.00
Closest atoms and distances in Å follow each position.
Space group P4/mbm (No. 127)
Unique sites:
1 Mg 0.1289 0.3711 0.0000 x4  6 Pt 2.59-2.71, 3 Mg 2.76-2.88
2 V 0.0000 0.0000 0.0000 x2  2 V 2.88, 4 Mg 2.98, 8 Pt 3.16
3 Pt 0.1708 0.6708 0.5000 x4  6 Mg 2.59-2.71, 2 Pt 2.88

Results
The calculation puts the formation energy at -0.376 eV per atom. For the energy above the lowest structure with this stoichiometry, the calculation gives 0.089 eV per atom.

# Y3BSe

A relaxed structure of Y3BSe (GGA-PBE, the Alexandria database).

Lattice parameters (Å, degrees): 4.9891 4.9891 4.9891 90.00 90.00 90.00
Closest atoms and distances in Å follow each position.
Space group Pm-3m (No. 221)
Unique sites:
1 Y 0.0000 0.0000 0.5000 x3  2 B 2.49
2 B 0.0000 0.0000 0.0000 x1  6 Y 2.49
3 Se 0.5000 0.5000 0.5000 x1  12 Y 3.53

Results
For the energy above the lowest structure with this stoichiometry, the calculation gives 0.000 eV per atom.

The calculation returns the following DOS at the Fermi energy values, one per record and in order: 0.000; 0.880; 0.359; 0.701; 2.268; 0.747; 1.318; 0.707; 0.673; 0.083; 0.465; 0.701; 0.968; 0.326; 0.142; 0.594; 2.152; 0.971; 0.621; 0.951 states/eV/atom.